Density functional theory data (PBE-GGA) for a relaxed structure of PmPr4Nd6.

abc: 7.7165 7.7165 13.7736
angles: 90.00 90.00 90.00
Space group I-42m (No. 121)
Asymmetric unit:
Pm (0.0000, 0.0000, 0.0000) x2
Pr (0.1727, 0.1727, 0.4180) x8
Nd (0.0000, 0.5000, 0.0000) x4
Nd (0.2253, 0.2253, 0.1867) x8

Values from the calculation:
Energy of formation = 34.6 kJ per mole of atoms
Total moment = 0.000 Bohr magnetons per cell
ΔE to the lowest computed polymorph = 0.085 eV per atom
Raw total energy = -97.06 eV per cell

***

Density functional theory data (PBE-GGA) for a relaxed structure of Pm4Pr4Nd3.

abc: 3.6600 9.6855 22.4860
angles: 90.00 90.00 90.00
Space group Immm (No. 71)
Asymmetric unit:
Pm (0.0000, 0.0000, 0.2396) x4
Pm (0.0000, 0.1852, 0.0000) x4
Pr (0.0000, 0.3235, 0.1453) x8
Nd (0.0000, 0.0000, 0.5000) x2
Nd (0.0000, 0.5000, 0.3923) x4

Values from the calculation:
Energy of formation = 12.2 kJ per mole of atoms
Total moment = 0.000 Bohr magnetons per cell
ΔE to the lowest computed polymorph = 0.000 eV per atom
Raw total energy = -102.06 eV per cell

***

Density functional theory data (PBE-GGA) for a relaxed structure of Pm7Pr3Nd.

abc: 11.9170 10.2779 6.5229
angles: 90.00 95.23 90.00
Space group C2/m (No. 12)
Asymmetric unit:
Pm (0.0000, 0.0000, 0.0000) x2
Pm (0.2382, 0.5000, 0.2123) x4
Pm (0.2456, 0.1730, 0.2612) x8
Pr (0.0000, 0.3264, 0.0000) x4
Pr (0.0000, 0.5000, 0.5000) x2
Nd (0.0000, 0.0000, 0.5000) x2

Values from the calculation:
Energy of formation = 20.1 kJ per mole of atoms
Total moment = 0.000 Bohr magnetons per cell
ΔE to the lowest computed polymorph = 0.042 eV per atom
Raw total energy = -100.13 eV per cell